Crystalline NaSn2Te6Pb3 at its relaxed geometry, computed with GGA-PBE.

Unit cell a=19.816 b=4.530 c=9.145 alpha=90.00 beta=102.40 gamma=90.00
Space group C2/m (No. 12)
Inequivalent atoms, fractional coordinates:
Na (0.000, 0.000, 0.000) x2
Sn (0.162, 0.500, 0.331) x4
Te (0.005, 0.500, 0.250) x4
Te (0.169, 0.000, 0.095) x4
Te (0.170, 0.000, 0.580) x4
Pb (0.000, 0.000, 0.500) x2
Pb (0.165, 0.500, 0.834) x4

Results
For the total magnetization, the calculation gives 0.000 μB per formula unit. Its calculated total energy is -88.3 eV/cell.

***

Crystalline La2PuPt3 at its relaxed geometry, computed with GGA-PBE.

Unit cell a=4.242 b=5.926 c=12.490 alpha=90.00 beta=90.00 gamma=90.00
Space group Immm (No. 71)
Inequivalent atoms, fractional coordinates:
La (0.000, 0.000, 0.168) x4
Pu (0.000, 0.000, 0.500) x2
Pt (0.000, 0.500, 0.158) x4
Pt (0.000, 0.500, 0.500) x2

Results
For the total magnetization, the calculation gives 5.314 μB per formula unit. The calculation puts the formation energy at -1007.5 meV/atom.

***

Crystalline LaAl2Cr at its relaxed geometry, computed with GGA-PBE.

Unit cell a=3.299 b=3.299 c=7.474 alpha=90.00 beta=90.00 gamma=90.00
Space group P4mm (No. 99)
Inequivalent atoms, fractional coordinates:
La (0.000, 0.000, 0.000) x1
Al (0.000, 0.000, 0.538) x1
Al (0.500, 0.500, 0.324) x1
Cr (0.500, 0.500, 0.706) x1

Results
For the total magnetization, the calculation gives 2.794 μB per formula unit. The calculation puts the formation energy at 73.7 meV/atom.

***

Crystalline AsPb2 at its relaxed geometry, computed with GGA-PBE.

Unit cell a=12.426 b=3.772 c=7.506 alpha=90.00 beta=106.89 gamma=90.00
Space group C2/m (No. 12)
Inequivalent atoms, fractional coordinates:
As (0.011, 0.000, 0.257) x4
Pb (0.139, 0.500, 0.067) x4
Pb (0.142, 0.500, 0.571) x4

Results
For the total magnetization, the calculation gives 0.000 μB per formula unit. The offset from the most stable computed form is 57 meV per atom. The calculation puts the formation energy at 59.0 meV/atom.